Record 1
Material: MgNb2Al
Method: DFT, GGA-PBE
State: relaxed

E_tot ... -24.88 eV/f.u.

a b c (Å): 4.6617 4.6617 4.6617
angles (deg): 60.00 60.00 60.00
Positions (direct):
Mg: 0.0000 0.0000 0.0000
Nb: 0.5000 0.5000 0.5000
Nb: 0.7500 0.7500 0.7500
Al: 0.2500 0.2500 0.2500

=====

Record 2
Material: Nd2Mg3AlNi2
Method: DFT, GGA-PBE
State: relaxed

E_tot ... -31.60 eV/f.u.

a b c (Å): 5.4200 5.4200 7.8678
angles (deg): 90.64 90.64 46.04
Positions (direct):
Nd: 0.0000 0.0000 0.0000
Nd: 0.1177 0.1177 0.5169
Mg: 0.4068 0.4068 0.3191
Mg: 0.7124 0.7124 0.8168
Mg: 0.7150 0.7150 0.2089
Al: 0.4034 0.4034 0.7053
Ni: 0.2926 0.2926 0.9985
Ni: 0.8421 0.8421 0.5303